Entry 1:
Density functional theory data (PBE) for LaGeRh after structural relaxation.

a b c (Å): 4.3465 7.7225 7.6752
angles (deg): 90.00 90.00 90.00
Last column: nearest neighbours and their distance in Å.
Space group Imm2 (No. 44)
Asymmetric unit:
La 0.0000 0.0000 0.0000 [2 per cell]  6 Ge 3.11-3.23, 6 Rh 3.26-3.37
La 0.0000 0.5000 0.0864 [2 per cell]  6 Rh 3.10-3.23, 6 Ge 3.24-3.35
Ge 0.0000 0.3054 0.7129 [4 per cell]  3 Rh 2.55-2.62
Rh 0.0000 0.2070 0.3865 [4 per cell]  3 Ge 2.55-2.62

Summary:
Raw total energy ... -6.5073 eV per atom
E_form ... -253 kJ/mol of formula units

---

Entry 2:
Density functional theory data (PBE) for Cs3H2I4 after structural relaxation.

a b c (Å): 18.7944 10.7759 8.3030
angles (deg): 90.00 100.08 90.00
Last column: nearest neighbours and their distance in Å.
Space group C2/c (No. 15)
Asymmetric unit:
Cs 0.0000 0.0097 0.2500 [4 per cell]  2 H 3.62, 4 I 3.85-4.00
Cs 0.1330 0.3773 0.6284 [8 per cell]  1 H 3.44, 1 I 3.74
H 0.1957 0.0007 0.8246 [8 per cell]  2 I 2.07-2.09
I 0.0601 0.2913 0.0223 [8 per cell]  5 Cs 3.74-4.00, 1 I 4.15
I 0.1963 0.0151 0.5736 [8 per cell]  2 H 2.07-2.09

Summary:
Raw total energy ... -2.5157 eV per atom

---

Entry 3:
Density functional theory data (PBE) for LaZrSb after structural relaxation.

a b c (Å): 5.0065 5.0065 3.9962
angles (deg): 90.00 90.00 120.00
Last column: nearest neighbours and their distance in Å.
Space group P-6m2 (No. 187)
Asymmetric unit:
La 0.0000 0.0000 0.0000 [1 per cell]  6 Zr 3.51, 6 Sb 3.51
Zr 0.3333 0.6667 0.5000 [1 per cell]  3 Sb 2.89
Sb 0.6667 0.3333 0.5000 [1 per cell]  3 Zr 2.89

Summary:
Raw total energy ... -6.2161 eV per atom
Formation energy without anion corrections ... -0.350 eV/atom